1.
First-principles (PBE) data for a relaxed Th3B2Rh9Au crystal, as listed in Alexandria.

Lattice parameters (Å, degrees): 5.8607 5.8607 8.9541 90.00 90.00 120.00
Element x y z (fractional)
Au1 0.0000 0.0000 0.5000
B1 0.3333 0.6667 0.1434
Rh1 0.6703 0.8352 0.2698
Rh2 0.8352 0.6703 0.7302
Rh3 0.3297 0.1648 0.7302
Rh4 0.5000 0.5000 0.0000
Rh5 0.1648 0.3297 0.2698
Rh6 0.0000 0.5000 0.0000
Th1 0.0000 0.0000 0.0000
Rh7 0.8352 0.1648 0.7302
Th2 0.6667 0.3333 0.3238
B2 0.6667 0.3333 0.8566
Rh8 0.5000 0.0000 0.0000
Th3 0.3333 0.6667 0.6762
Rh9 0.1648 0.8352 0.2698



2.
First-principles (PBE) data for a relaxed Tm2BRh4Au2 crystal, as listed in Alexandria.

Lattice parameters (Å, degrees): 5.8605 5.8605 5.8605 92.05 118.82 118.82
Element x y z (fractional)
Rh1 0.5032 0.7516 0.7516
Rh2 0.4968 0.2484 0.2484
Rh3 0.0000 0.7516 0.2484
Rh4 0.0000 0.2484 0.7516
B1 0.0000 0.0000 0.0000
Tm1 0.5000 0.2500 0.7500
Tm2 0.5000 0.7500 0.2500
Au1 0.0000 0.7292 0.7292
Au2 0.0000 0.2708 0.2708



3.
First-principles (PBE) data for a relaxed B3RuAu crystal, as listed in Alexandria.

Lattice parameters (Å, degrees): 4.0814 4.0814 4.0814 90.00 90.00 90.00
Element x y z (fractional)
B1 0.5000 0.0000 0.0000
Au1 0.5000 0.5000 0.5000
B2 0.0000 0.0000 0.5000
Ru1 0.0000 0.0000 0.0000
B3 0.0000 0.5000 0.0000

Properties
Relative energy among the computed polymorphs = 0.0 meV per atom



Number 1: volume 17.8 Å³/atom, ΔH_f (0 K) -644 meV per atom. Number 2: volume 16.1 Å³/atom, ΔH_f (0 K) -767 meV per atom. Number 3: volume 13.6 Å³/atom, ΔH_f (0 K) 1153 meV per atom.